# TiTl3As, optimized geometry, DFT PBE-GGA
# crystal system: cubic
# energy relative to the lowest polymorph listed for this composition: 22.8 kJ per mole of atoms
# energy relative to the elements: 949 meV/atom
data_TiTl3As
_chemical_formula_sum 'Ti1 Tl3 As1'
_symmetry_space_group_name_H-M 'P m -3 m'
_symmetry_Int_Tables_number 221
_symmetry_space_group_name_Hall '-P 4 2 3'
_cell_length_a 5.440
_cell_length_b 5.440
_cell_length_c 5.440
_cell_angle_alpha 90.00
_cell_angle_beta 90.00
_cell_angle_gamma 90.00
loop_
_atom_site_label
_atom_site_type_symbol
_atom_site_fract_x
_atom_site_fract_y
_atom_site_fract_z
Ti1 Ti 0.000 0.000 0.000
Tl1 Tl 0.000 0.500 0.500
As1 As 0.500 0.500 0.500

# Ba3Ge2N2, optimized geometry, DFT PBE-GGA
# crystal system: monoclinic
# uncorrected formation energy: -585 meV per atom
data_Ba3Ge2N2
_chemical_formula_sum 'Ba6 Ge4 N4'
_symmetry_space_group_name_H-M 'P 1 21/m 1'
_symmetry_Int_Tables_number 11
_cell_length_a 9.733
_cell_length_b 4.109
_cell_length_c 10.237
_cell_angle_alpha 90.00
_cell_angle_beta 113.66
_cell_angle_gamma 90.00
loop_
_symmetry_equiv_pos_as_xyz
'x,y,z'
'-x,-y,-z'
'-x,y+1/2,-z'
'x,-y+1/2,z'
loop_
_atom_site_label
_atom_site_type_symbol
_atom_site_fract_x
_atom_site_fract_y
_atom_site_fract_z
Ba1 Ba 0.027 0.250 0.173
Ba2 Ba 0.187 0.750 0.559
Ba3 Ba 0.386 0.750 0.143
Ge1 Ge 0.247 0.250 0.847
Ge2 Ge 0.421 0.250 0.445
N1 N 0.071 0.250 0.676
N2 N 0.182 0.250 0.999

# Pm7YSn4, optimized geometry, DFT PBE-GGA
# crystal system: monoclinic
# energy relative to the elements: -298 meV/atom
data_Pm7YSn4
_chemical_formula_sum 'Pm14 Y2 Sn8'
_symmetry_space_group_name_H-M 'C 1 2/m 1'
_symmetry_Int_Tables_number 12
_cell_length_a 14.182
_cell_length_b 5.838
_cell_length_c 11.118
_cell_angle_alpha 90.00
_cell_angle_beta 124.91
_cell_angle_gamma 90.00
loop_
_symmetry_equiv_pos_as_xyz
'x,y,z'
'-x,-y,-z'
'-x,y,-z'
'x,-y,z'
'x+1/2,y+1/2,z'
'-x+1/2,-y+1/2,-z'
'-x+1/2,y+1/2,-z'
'x+1/2,-y+1/2,z'
loop_
_atom_site_label
_atom_site_type_symbol
_atom_site_fract_x
_atom_site_fract_y
_atom_site_fract_z
Pm1 Pm 0.000 0.000 0.000
Pm2 Pm 0.059 0.500 0.373
Pm3 Pm 0.187 0.000 0.614
Pm4 Pm 0.210 0.500 0.887
Y1 Y 0.000 0.500 0.000
Sn1 Sn 0.064 0.000 0.765
Sn2 Sn 0.197 0.000 0.328

Calculated volume per entry: 161.0 375.0 754.8 Å³ per cell